Compound: CeAlB14
Source: Alexandria via LeMat-Bulk
Functional: GGA-PBE
Structure: relaxed

CIF file:
```
data_CeAlB14
_space_group_name_H-M_alt 'P 1'
_space_group_IT_number 1
_space_group_name_Hall 'P 1'
_cell_length_a 5.887
_cell_length_b 7.377
_cell_length_c 7.377
_cell_angle_alpha 68.82
_cell_angle_beta 66.48
_cell_angle_gamma 66.48
loop_
_atom_site_label
_atom_site_type_symbol
_atom_site_fract_x
_atom_site_fract_y
_atom_site_fract_z
Ce1 Ce 0.250 0.390 0.110
Ce2 Ce 0.750 0.610 0.890
Al1 Al 0.500 0.000 0.500
Al2 Al 0.000 0.000 0.500
B1 B 0.667 0.369 0.297
B2 B 0.333 0.631 0.703
B3 B 0.167 0.797 0.869
B4 B 0.833 0.203 0.131
B5 B 0.135 0.232 0.497
B6 B 0.865 0.768 0.503
B7 B 0.635 0.997 0.732
B8 B 0.365 0.003 0.268
B9 B 0.087 0.078 0.748
B10 B 0.913 0.922 0.252
B11 B 0.587 0.248 0.578
B12 B 0.413 0.752 0.422
B13 B 0.723 0.602 0.280
B14 B 0.606 0.398 0.720
B15 B 0.223 0.780 0.102
B16 B 0.106 0.220 0.898
B17 B 0.277 0.398 0.720
B18 B 0.394 0.602 0.280
B19 B 0.777 0.220 0.898
B20 B 0.894 0.780 0.102
B21 B 0.327 0.970 0.873
B22 B 0.170 0.030 0.127
B23 B 0.827 0.373 0.470
B24 B 0.670 0.627 0.530
B25 B 0.673 0.030 0.127
B26 B 0.830 0.970 0.873
B27 B 0.173 0.627 0.530
B28 B 0.330 0.373 0.470
```

Calculated values
Size of the total moment ... 2.008 μB/cell
Formation energy ... -0.1504 eV/atom
Space-group type ... Imma (74)
VASP energy ... -211.13 eV per cell

---

Compound: Ce2AlCo5B2
Source: Alexandria via LeMat-Bulk
Functional: GGA-PBE
Structure: relaxed

CIF file:
```
data_Ce2AlCo5B2
_space_group_name_H-M_alt 'P 1'
_space_group_IT_number 1
_space_group_name_Hall 'P 1'
_cell_length_a 3.081
_cell_length_b 9.094
_cell_length_c 9.094
_cell_angle_alpha 90.00
_cell_angle_beta 90.00
_cell_angle_gamma 90.00
loop_
_atom_site_label
_atom_site_type_symbol
_atom_site_fract_x
_atom_site_fract_y
_atom_site_fract_z
Ce1 Ce 0.000 0.679 0.179
Ce2 Ce 0.000 0.321 0.821
Ce3 Ce 0.000 0.179 0.321
Ce4 Ce 0.000 0.821 0.679
Al1 Al 0.000 0.000 0.000
Al2 Al 0.000 0.500 0.500
Co1 Co 0.500 0.230 0.069
Co2 Co 0.500 0.770 0.931
Co3 Co 0.500 0.069 0.770
Co4 Co 0.500 0.730 0.431
Co5 Co 0.500 0.931 0.230
Co6 Co 0.500 0.270 0.569
Co7 Co 0.500 0.569 0.730
Co8 Co 0.500 0.431 0.270
Co9 Co 0.500 0.500 0.000
Co10 Co 0.500 0.000 0.500
B1 B 0.000 0.116 0.616
B2 B 0.000 0.884 0.384
B3 B 0.000 0.616 0.884
B4 B 0.000 0.384 0.116
```

Calculated values
Size of the total moment ... 0.000 μB/cell
Formation energy ... -0.3957 eV/atom
Space-group type ... P4/mbm (127)
VASP energy ... -136.90 eV per cell

---

Compound: Ce2AlFe5B2
Source: Alexandria via LeMat-Bulk
Functional: GGA-PBE
Structure: relaxed

CIF file:
```
data_Ce2AlFe5B2
_space_group_name_H-M_alt 'P 1'
_space_group_IT_number 1
_space_group_name_Hall 'P 1'
_cell_length_a 2.984
_cell_length_b 9.155
_cell_length_c 9.155
_cell_angle_alpha 90.00
_cell_angle_beta 90.00
_cell_angle_gamma 90.00
loop_
_atom_site_label
_atom_site_type_symbol
_atom_site_fract_x
_atom_site_fract_y
_atom_site_fract_z
Ce1 Ce 0.000 0.677 0.177
Ce2 Ce 0.000 0.323 0.823
Ce3 Ce 0.000 0.177 0.323
Ce4 Ce 0.000 0.823 0.677
Al1 Al 0.000 0.000 0.000
Al2 Al 0.000 0.500 0.500
Fe1 Fe 0.500 0.225 0.071
Fe2 Fe 0.500 0.775 0.929
Fe3 Fe 0.500 0.071 0.775
Fe4 Fe 0.500 0.725 0.429
Fe5 Fe 0.500 0.929 0.225
Fe6 Fe 0.500 0.275 0.571
Fe7 Fe 0.500 0.571 0.725
Fe8 Fe 0.500 0.429 0.275
Fe9 Fe 0.500 0.500 0.000
Fe10 Fe 0.500 0.000 0.500
B1 B 0.000 0.120 0.620
B2 B 0.000 0.880 0.380
B3 B 0.000 0.620 0.880
B4 B 0.000 0.380 0.120
```

Calculated values
Size of the total moment ... 0.003 μB/cell
Formation energy ... -0.2609 eV/atom
Space-group type ... P4/mbm (127)
VASP energy ... -147.77 eV per cell

---

Compound: Ce2AlBIr6
Source: Alexandria via LeMat-Bulk
Functional: GGA-PBE
Structure: relaxed

CIF file:
```
data_Ce2AlBIr6
_space_group_name_H-M_alt 'P 1'
_space_group_IT_number 1
_space_group_name_Hall 'P 1'
_cell_length_a 5.580
_cell_length_b 7.240
_cell_length_c 5.581
_cell_angle_alpha 67.29
_cell_angle_beta 60.01
_cell_angle_gamma 89.99
loop_
_atom_site_label
_atom_site_type_symbol
_atom_site_fract_x
_atom_site_fract_y
_atom_site_fract_z
Ce1 Ce 0.716 0.147 0.569
Ce2 Ce 0.284 0.853 0.431
Al1 Al 0.000 0.000 0.000
B1 B 0.500 0.500 0.000
Ir1 Ir 0.263 0.305 0.475
Ir2 Ir 0.737 0.695 0.041
Ir3 Ir 0.221 0.695 0.042
Ir4 Ir 0.779 0.305 0.958
Ir5 Ir 0.263 0.305 0.959
Ir6 Ir 0.737 0.695 0.525
```

Calculated values
Size of the total moment ... 0.000 μB/cell
Formation energy ... -0.5696 eV/atom
Space-group type ... R-3m (166)
VASP energy ... -81.15 eV per cell

---

Compound: CeAlBO5
Source: Alexandria via LeMat-Bulk
Functional: GGA-PBE
Structure: relaxed

CIF file:
```
data_CeAlBO5
_space_group_name_H-M_alt 'P 1'
_space_group_IT_number 1
_space_group_name_Hall 'P 1'
_cell_length_a 5.224
_cell_length_b 5.224
_cell_length_c 6.574
_cell_angle_alpha 102.38
_cell_angle_beta 102.38
_cell_angle_gamma 105.54
loop_
_atom_site_label
_atom_site_type_symbol
_atom_site_fract_x
_atom_site_fract_y
_atom_site_fract_z
Ce1 Ce 0.341 0.659 0.250
Ce2 Ce 0.659 0.341 0.750
Al1 Al 0.000 0.000 0.500
Al2 Al 0.000 0.000 0.000
B1 B 0.685 0.315 0.250
B2 B 0.315 0.685 0.750
O1 O 0.080 0.920 0.250
O2 O 0.920 0.080 0.750
O3 O 0.891 0.315 0.124
O4 O 0.109 0.685 0.876
O5 O 0.685 0.109 0.376
O6 O 0.315 0.891 0.624
O7 O 0.742 0.593 0.413
O8 O 0.258 0.407 0.587
O9 O 0.407 0.258 0.087
O10 O 0.593 0.742 0.913
```

Calculated values
Size of the total moment ... 0.000 μB/cell
Formation energy (no corrections) ... -2.918 eV/atom
Space-group type ... C2/c (15)
VASP energy ... -128.98 eV per cell

---

Compound: CeAlB2O6
Source: Alexandria via LeMat-Bulk
Functional: GGA-PBE
Structure: relaxed

CIF file:
```
data_CeAlB2O6
_space_group_name_H-M_alt 'P 1'
_space_group_IT_number 1
_space_group_name_Hall 'P 1'
_cell_length_a 4.814
_cell_length_b 4.814
_cell_length_c 5.986
_cell_angle_alpha 66.29
_cell_angle_beta 66.29
_cell_angle_gamma 60.00
loop_
_atom_site_label
_atom_site_type_symbol
_atom_site_fract_x
_atom_site_fract_y
_atom_site_fract_z
Ce1 Ce 0.000 0.000 0.000
Al1 Al 0.500 0.500 0.500
B1 B 0.765 0.765 0.704
B2 B 0.235 0.235 0.296
O1 O 0.074 0.508 0.715
O2 O 0.703 0.074 0.715
O3 O 0.492 0.297 0.285
O4 O 0.926 0.492 0.285
O5 O 0.297 0.926 0.285
O6 O 0.508 0.703 0.715
```

Calculated values
Size of the total moment ... 1.000 μB/cell
Formation energy (no corrections) ... -2.844 eV/atom
Space-group type ... R-3 (148)
VASP energy ... -81.22 eV per cell

---

Compound: Ce3AlB2Pt9
Source: Alexandria via LeMat-Bulk
Functional: GGA-PBE
Structure: relaxed

CIF file:
```
data_Ce3AlB2Pt9
_space_group_name_H-M_alt 'P 1'
_space_group_IT_number 1
_space_group_name_Hall 'P 1'
_cell_length_a 5.774
_cell_length_b 5.774
_cell_length_c 9.349
_cell_angle_alpha 90.00
_cell_angle_beta 90.00
_cell_angle_gamma 120.00
loop_
_atom_site_label
_atom_site_type_symbol
_atom_site_fract_x
_atom_site_fract_y
_atom_site_fract_z
Ce1 Ce 0.333 0.667 0.611
Ce2 Ce 0.000 0.000 0.000
Ce3 Ce 0.667 0.333 0.389
Al1 Al 0.000 0.000 0.500
B1 B 0.333 0.667 0.150
B2 B 0.667 0.333 0.850
Pt1 Pt 0.835 0.165 0.709
Pt2 Pt 0.835 0.669 0.709
Pt3 Pt 0.331 0.165 0.709
Pt4 Pt 0.669 0.835 0.291
Pt5 Pt 0.165 0.331 0.291
Pt6 Pt 0.165 0.835 0.291
Pt7 Pt 0.500 0.000 0.000
Pt8 Pt 0.000 0.500 0.000
Pt9 Pt 0.500 0.500 0.000
```

Calculated values
Size of the total moment ... 2.346 μB/cell
Formation energy ... -0.8221 eV/atom
Space-group type ... P-3m1 (164)
VASP energy ... -101.60 eV per cell

---

Compound: Ce2AlBPt6
Source: Alexandria via LeMat-Bulk
Functional: GGA-PBE
Structure: relaxed

CIF file:
```
data_Ce2AlBPt6
_space_group_name_H-M_alt 'P 1'
_space_group_IT_number 1
_space_group_name_Hall 'P 1'
_cell_length_a 5.715
_cell_length_b 7.401
_cell_length_c 8.676
_cell_angle_alpha 90.00
_cell_angle_beta 90.00
_cell_angle_gamma 90.00
loop_
_atom_site_label
_atom_site_type_symbol
_atom_site_fract_x
_atom_site_fract_y
_atom_site_fract_z
Ce1 Ce 0.500 0.715 0.280
Ce2 Ce 0.000 0.285 0.780
Ce3 Ce 0.500 0.715 0.720
Ce4 Ce 0.000 0.285 0.220
Al1 Al 0.000 0.681 0.500
Al2 Al 0.500 0.319 0.000
B1 B 0.500 0.192 0.500
B2 B 0.000 0.808 0.000
Pt1 Pt 0.500 0.150 0.255
Pt2 Pt 0.500 0.150 0.745
Pt3 Pt 0.000 0.850 0.245
Pt4 Pt 0.000 0.850 0.755
Pt5 Pt 0.241 0.986 0.500
Pt6 Pt 0.759 0.986 0.500
Pt7 Pt 0.255 0.410 0.500
Pt8 Pt 0.745 0.410 0.500
Pt9 Pt 0.755 0.590 0.000
Pt10 Pt 0.245 0.590 0.000
Pt11 Pt 0.259 0.014 0.000
Pt12 Pt 0.741 0.014 0.000
```

Calculated values
Size of the total moment ... 2.790 μB/cell
Formation energy ... -0.9065 eV/atom
Space-group type ... Pmmn (59)
VASP energy ... -135.19 eV per cell

---

Compound: CeAlB2Rh5
Source: Alexandria via LeMat-Bulk
Functional: GGA-PBE
Structure: relaxed

CIF file:
```
data_CeAlB2Rh5
_space_group_name_H-M_alt 'P 1'
_space_group_IT_number 1
_space_group_name_Hall 'P 1'
_cell_length_a 4.179
_cell_length_b 4.179
_cell_length_c 7.313
_cell_angle_alpha 90.00
_cell_angle_beta 90.00
_cell_angle_gamma 90.00
loop_
_atom_site_label
_atom_site_type_symbol
_atom_site_fract_x
_atom_site_fract_y
_atom_site_fract_z
Ce1 Ce 0.000 0.000 0.500
Al1 Al 0.000 0.000 0.000
B1 B 0.500 0.500 0.195
B2 B 0.500 0.500 0.805
Rh1 Rh 0.000 0.500 0.210
Rh2 Rh 0.500 0.000 0.210
Rh3 Rh 0.000 0.500 0.790
Rh4 Rh 0.500 0.000 0.790
Rh5 Rh 0.500 0.500 0.500
```

Calculated values
Size of the total moment ... 0.246 μB/cell
Formation energy ... -0.6250 eV/atom
Space-group type ... P4/mmm (123)
VASP energy ... -65.41 eV per cell

---

Compound: Ce2AlB2Rh5
Source: Alexandria via LeMat-Bulk
Functional: GGA-PBE
Structure: relaxed

CIF file:
```
data_Ce2AlB2Rh5
_space_group_name_H-M_alt 'P 1'
_space_group_IT_number 1
_space_group_name_Hall 'P 1'
_cell_length_a 3.253
_cell_length_b 9.563
_cell_length_c 9.563
_cell_angle_alpha 90.00
_cell_angle_beta 90.00
_cell_angle_gamma 90.00
loop_
_atom_site_label
_atom_site_type_symbol
_atom_site_fract_x
_atom_site_fract_y
_atom_site_fract_z
Ce1 Ce 0.000 0.677 0.177
Ce2 Ce 0.000 0.323 0.823
Ce3 Ce 0.000 0.177 0.323
Ce4 Ce 0.000 0.823 0.677
Al1 Al 0.000 0.000 0.000
Al2 Al 0.000 0.500 0.500
B1 B 0.000 0.121 0.621
B2 B 0.000 0.879 0.379
B3 B 0.000 0.621 0.879
B4 B 0.000 0.379 0.121
Rh1 Rh 0.500 0.220 0.070
Rh2 Rh 0.500 0.780 0.930
Rh3 Rh 0.500 0.070 0.780
Rh4 Rh 0.500 0.720 0.430
Rh5 Rh 0.500 0.930 0.220
Rh6 Rh 0.500 0.280 0.570
Rh7 Rh 0.500 0.570 0.720
Rh8 Rh 0.500 0.430 0.280
Rh9 Rh 0.500 0.500 0.000
Rh10 Rh 0.500 0.000 0.500
```

Calculated values
Size of the total moment ... 1.482 μB/cell
Formation energy ... -0.7653 eV/atom
Space-group type ... P4/mbm (127)
VASP energy ... -146.75 eV per cell